# 1
8
Lattice="3.971 0.000 0.000 0.000 3.971 0.000 1.986 1.986 9.176" Properties=species:S:1:pos:R:3 comment="Ta2GeOs (GGA-PBE, relaxed)" dos_at_fermi_per_ev_fu=1.90 total_magnetization_mub_per_cell=0.00 spacegroup=I-42d final_energy_ev_per_atom=-9.3564 pbc="T T T"
Os 3.971 1.986 4.588
Os 0.000 0.000 0.000
Ta 4.964 4.920 6.882
Ta 1.037 2.979 2.294
Ta 2.935 0.993 2.294
Ta 2.979 3.022 6.882
Ge 1.986 3.971 4.588
Ge 1.986 1.986 0.000

=====

# 2
10
Lattice="-3.606 -0.842 -6.597 -4.906 -4.729 3.285 -1.795 2.336 0.683" Properties=species:S:1:pos:R:3 comment="Ta2GeOs2 (GGA-PBE, relaxed)" dos_at_fermi_per_ev_fu=1.21 total_magnetization_mub_per_cell=0.00 spacegroup=P4/mbm final_energy_ev_per_atom=-10.1577 pbc="T T T"
Os -2.960 -1.178 -3.749
Os -6.236 -3.735 -3.611
Os -2.276 -1.836 0.299
Os -5.552 -4.393 0.437
Ta -4.687 -2.071 1.464
Ta -2.904 0.137 -1.406
Ta -7.403 -3.372 -1.223
Ta -5.620 -1.164 -4.093
Ge 0.000 0.000 0.000
Ge -4.256 -2.786 -1.656

=====

# 3
18
Lattice="-1.250 -6.218 -1.991 4.961 0.824 -5.691 2.269 0.804 7.163" Properties=species:S:1:pos:R:3 comment="TaGeOs (GGA-PBE, relaxed)" dos_at_fermi_per_ev_fu=1.66 total_magnetization_mub_per_cell=0.00 spacegroup=Ima2 final_energy_ev_per_atom=-9.4422 pbc="T T T"
Os 5.215 -1.808 -0.303
Os 0.464 -4.280 -0.695
Os 1.237 -5.772 -4.825
Os -1.244 -6.184 -1.980
Os 3.204 -2.142 2.003
Os 2.475 -3.946 -3.001
Ge 2.154 -3.491 3.906
Ge 3.099 0.300 2.664
Ge 3.506 -1.782 -2.187
Ge 5.500 0.699 -0.090
Ge 3.190 -4.261 -5.437
Ge 1.105 -2.181 0.567
Ta 0.268 -4.329 2.140
Ta 3.059 -1.073 5.045
Ta 3.241 -3.753 -0.251
Ta 2.870 -0.187 -0.059
Ta 3.329 -1.492 -4.916
Ta 5.699 -0.325 -2.680

=====

# 4
10
Lattice="-0.004 -7.264 0.067 2.818 -0.063 -6.695 2.677 0.009 1.127" Properties=species:S:1:pos:R:3 comment="TaGe2Os2 (GGA-PBE, relaxed)" dos_at_fermi_per_ev_fu=4.30 total_magnetization_mub_per_cell=0.00 spacegroup=P4/mbm final_energy_ev_per_atom=-8.5511 pbc="T T T"
Ge 1.823 -6.229 -4.282
Ge 0.991 -1.098 -2.346
Ge 0.415 -4.717 -0.948
Ge 2.399 -2.610 -5.680
Ta 1.407 -3.664 -3.314
Ta 0.000 0.000 0.000
Os 3.169 -1.125 -3.777
Os 1.759 -2.549 -0.416
Os 3.732 -4.770 -5.085
Os 2.322 -6.193 -1.724

=====

# 5
4
Lattice="-2.760 3.166 1.345 -4.175 0.034 -1.420 -3.283 -0.972 2.781" Properties=species:S:1:pos:R:3 comment="TaVGeOs (GGA-PBE, relaxed)" dos_at_fermi_per_ev_fu=3.49 total_magnetization_mub_per_cell=1.98 spacegroup=F-43m final_energy_ev_per_atom=-9.3071 pbc="T T T"
V -2.555 0.557 0.677
Ge 0.000 0.000 0.000
Os -7.664 1.671 2.030
Ta -5.109 1.114 1.353

=====

# 6
14
Lattice="6.726 0.000 0.000 0.000 6.726 0.000 0.000 0.000 6.726" Properties=species:S:1:pos:R:3 comment="TbGe3Os3 (GGA-PBE, relaxed)" dos_at_fermi_per_ev_fu=2.79 total_magnetization_mub_per_cell=0.00 spacegroup=Pm-3n final_energy_ev_per_atom=-6.9752 pbc="T T T"
Ge 3.363 0.000 1.681
Ge 0.000 1.681 3.363
Ge 1.681 3.363 0.000
Ge 5.044 3.363 0.000
Ge 0.000 5.044 3.363
Ge 3.363 0.000 5.044
Os 5.044 0.000 3.363
Os 1.681 0.000 3.363
Os 3.363 5.044 0.000
Os 3.363 1.681 0.000
Os 0.000 3.363 5.044
Os 0.000 3.363 1.681
Tb 0.000 0.000 0.000
Tb 3.363 3.363 3.363

=====

# 7
14
Lattice="-4.148 -1.083 0.296 -2.204 -1.505 -5.183 1.299 -13.003 1.814" Properties=species:S:1:pos:R:3 comment="Tb3Ge3Os (GGA-PBE, relaxed)" dos_at_fermi_per_ev_fu=4.13 total_magnetization_mub_per_cell=0.00 spacegroup=C2/m final_energy_ev_per_atom=-6.3128 pbc="T T T"
Tb -1.326 -3.669 -0.808
Tb -3.972 -2.773 -3.412
Tb -3.727 -11.922 -2.264
Tb -2.088 -9.176 -0.451
Tb -2.964 -6.414 -2.621
Tb -1.081 -12.817 0.340
Ge -4.482 -9.101 -2.526
Ge -3.922 -2.165 -0.488
Ge -5.525 -5.426 -3.687
Ge -0.571 -6.489 -0.547
Ge -1.131 -13.425 -2.584
Ge 0.472 -10.165 0.615
Os -2.283 -9.301 -3.629
Os -2.770 -6.290 0.557

=====

# 8
6
Lattice="1.372 4.169 0.279 -0.304 2.067 5.267 5.556 0.373 1.773" Properties=species:S:1:pos:R:3 comment="Tb2Ge3Os (GGA-PBE, relaxed)" de_polymorph_mev_per_atom=0.0 dos_at_fermi_per_ev_fu=3.06 total_magnetization_mub_per_cell=0.00 spacegroup=Cm final_energy_ev_per_atom=-6.2826 pbc="T T T"
Tb 4.657 2.943 2.445
Tb 2.117 3.609 4.984
Ge 5.046 2.605 5.579
Ge 1.708 3.953 1.854
Ge 4.690 5.113 4.521
Os 1.654 1.603 2.574

=====

For reference, DFT formation energy by record: 532 -1 -209 158 -102 478 -745 -559 meV/atom.